[1]
A relaxed structure of LaCeNiS4. Source: Alexandria via LeMat-Bulk, functional PBE.

Structure (POSCAR):
```
LaCeNiS4
1.0
6.5906 0.0000 0.0961
0.0000 5.7134 0.0000
-2.4607 0.0000 7.6615
La Ce Ni S
2 2 2 8
Direct
0.7308 0.7500 0.9312 La
0.2692 0.2500 0.0688 La
0.7444 0.7500 0.4394 Ce
0.2556 0.2500 0.5606 Ce
0.2386 0.7500 0.3181 Ni
0.7614 0.2500 0.6819 Ni
0.0141 0.5101 0.7489 S
0.9859 0.0101 0.2511 S
0.9859 0.4899 0.2511 S
0.0141 0.9899 0.7489 S
0.4288 0.7500 0.1254 S
0.5712 0.2500 0.8746 S
0.4199 0.7500 0.5954 S
0.5801 0.2500 0.4046 S
```

The total energy is -6.351 eV per atom. The space group is P2_1/m. Its formation energy from raw total energies is -156 kJ/mol of atoms.


[2]
A relaxed structure of La3NdHo7. Source: Alexandria via LeMat-Bulk, functional PBE.

Structure (POSCAR):
```
La3NdHo7
1.0
-6.6453 1.7336 -5.5134
-4.6580 -1.6715 5.0887
2.2903 6.6864 -0.6580
La Nd Ho
3 1 7
Direct
0.7842 0.5005 0.4995 La
0.7842 0.5005 0.0010 La
0.7842 0.9990 0.4995 La
0.4433 0.3333 0.6667 Nd
0.1226 0.1669 0.8331 Ho
0.1226 0.1669 0.3337 Ho
0.1245 0.6667 0.3333 Ho
0.4423 0.8326 0.1674 Ho
0.4423 0.3347 0.1674 Ho
0.4423 0.8326 0.6653 Ho
0.1226 0.6663 0.8331 Ho
```

The total energy is -4.515 eV per atom. The space group is P3m1. For the excess energy over the best structure of this formula in the dataset, the calculation gives 57 meV per atom. The value obtained for the formation enthalpy at 0 K is 0.18 eV/atom.